Below is a relaxed structure of PrSc4Pt3O12, with properties calculated at the GGA-PBE level. Values from VASP.

```
&SYSTEM
  ibrav = 0, nat = 20, ntyp = 4
/
ATOMIC_SPECIES
Pr 140.91 Pr.upf
Sc 44.96 Sc.upf
Pt 195.08 Pt.upf
O 16.00 O.upf
CELL_PARAMETERS angstrom
-3.9365 3.9365 3.9365
3.9365 -3.9365 3.9365
3.9365 3.9365 -3.9365
ATOMIC_POSITIONS angstrom
Pr 0.0000 0.0000 0.0000
Sc 1.9683 1.9683 -1.9683
Sc 1.9683 -1.9683 1.9683
Sc -1.9683 1.9683 1.9683
Sc 1.9683 1.9683 1.9683
Pt 3.9365 0.0000 0.0000
Pt 0.0000 3.9365 0.0000
Pt 0.0000 0.0000 3.9365
O 3.9365 2.6382 -1.5531
O 2.3834 0.0000 1.2983
O 5.4896 0.0000 1.2983
O 1.2983 2.3834 0.0000
O 2.6382 -1.5531 3.9365
O 0.0000 1.2983 2.3834
O 3.9365 2.6382 1.5531
O 1.2983 5.4896 0.0000
O 2.6382 1.5531 3.9365
O -1.5531 3.9365 2.6382
O 1.5531 3.9365 2.6382
O 0.0000 1.2983 5.4896
```

Output
E_form (uncorrected) = -2.247 eV/atom
Magnetization = 2.58 μB/cell

***

Below is a relaxed structure of PrScPtO6, with properties calculated at the GGA-PBE level. Values from VASP.

```
&SYSTEM
  ibrav = 0, nat = 9, ntyp = 4
/
ATOMIC_SPECIES
Pr 140.91 Pr.upf
Sc 44.96 Sc.upf
Pt 195.08 Pt.upf
O 16.00 O.upf
CELL_PARAMETERS angstrom
5.3599 0.0000 0.0000
-2.6800 4.6418 0.0000
0.0000 0.0000 5.1043
ATOMIC_POSITIONS angstrom
Pr 0.0000 0.0000 0.0000
Sc 0.0000 3.0946 2.5522
Pt 2.6800 1.5473 2.5522
O 1.9310 0.0868 3.6615
O 1.0407 1.6289 1.4428
O 3.4289 0.0868 1.4428
O 1.7896 2.9261 3.6615
O 4.3193 1.6289 3.6615
O 3.5703 2.9261 1.4428
```

Output
E_form (uncorrected) = -1.997 eV/atom
Magnetization = 0.00 μB/cell

***

Below is a relaxed structure of Pr2SmPtO5, with properties calculated at the GGA-PBE level. Values from VASP.

```
&SYSTEM
  ibrav = 0, nat = 18, ntyp = 4
/
ATOMIC_SPECIES
Pr 140.91 Pr.upf
Sm 150.36 Sm.upf
Pt 195.08 Pt.upf
O 16.00 O.upf
CELL_PARAMETERS angstrom
6.7817 0.0000 0.0000
0.0000 6.7817 0.0000
0.0000 0.0000 5.8413
ATOMIC_POSITIONS angstrom
Pr 1.1390 2.2518 0.0000
Pr 2.2518 5.6427 0.0000
Pr 4.5298 1.1390 0.0000
Pr 5.6427 4.5298 0.0000
Sm 0.0000 0.0000 2.9207
Sm 3.3908 3.3908 2.9207
Pt 0.0000 3.3908 2.9207
Pt 3.3908 0.0000 2.9207
O 0.0000 0.0000 0.0000
O 1.0075 4.3983 1.4805
O 1.0075 4.3983 4.3609
O 2.3834 1.0075 1.4805
O 2.3834 1.0075 4.3609
O 3.3908 3.3908 0.0000
O 4.3983 5.7742 1.4805
O 4.3983 5.7742 4.3609
O 5.7742 2.3834 1.4805
O 5.7742 2.3834 4.3609
```

Output
E_form (uncorrected) = -2.346 eV/atom
Magnetization = 0.00 μB/cell

***

Below is a relaxed structure of SrPr2PtO5, with properties calculated at the GGA-PBE level. Values from VASP.

```
&SYSTEM
  ibrav = 0, nat = 18, ntyp = 4
/
ATOMIC_SPECIES
Sr 87.62 Sr.upf
Pr 140.91 Pr.upf
Pt 195.08 Pt.upf
O 16.00 O.upf
CELL_PARAMETERS angstrom
6.8252 0.0000 0.0000
0.0000 6.8252 0.0000
0.0000 0.0000 5.9364
ATOMIC_POSITIONS angstrom
Sr 0.0000 0.0000 0.0000
Sr 3.4126 3.4126 0.0000
Pr 1.1848 2.2278 2.9682
Pr 2.2278 5.6404 2.9682
Pr 4.5974 1.1848 2.9682
Pr 5.6404 4.5974 2.9682
Pt 0.0000 3.4126 0.0000
Pt 3.4126 0.0000 0.0000
O 0.0000 0.0000 2.9682
O 0.9774 4.3900 1.4711
O 0.9774 4.3900 4.4653
O 2.4352 0.9774 1.4711
O 2.4352 0.9774 4.4653
O 3.4126 3.4126 2.9682
O 4.3900 5.8478 1.4711
O 4.3900 5.8478 4.4653
O 5.8478 2.4352 1.4711
O 5.8478 2.4352 4.4653
```

Output
E_form (uncorrected) = -2.538 eV/atom
Magnetization = 0.00 μB/cell

***

Below is a relaxed structure of PrTiPtO6, with properties calculated at the GGA-PBE level. Values from VASP.

```
&SYSTEM
  ibrav = 0, nat = 9, ntyp = 4
/
ATOMIC_SPECIES
Pr 140.91 Pr.upf
Ti 47.87 Ti.upf
Pt 195.08 Pt.upf
O 16.00 O.upf
CELL_PARAMETERS angstrom
5.2332 0.0000 0.0000
-2.6166 4.5321 0.0000
0.0000 0.0000 5.1552
ATOMIC_POSITIONS angstrom
Pr 0.0000 0.0000 0.0000
Ti 0.0000 3.0214 2.5776
Pt 2.6166 1.5107 2.5776
O -0.9432 1.6652 3.6716
O -1.6461 2.8827 1.4835
O 0.9432 1.6652 1.4835
O -0.7029 4.5163 3.6716
O 1.6461 2.8827 3.6716
O 0.7029 4.5163 1.4835
```

Output
E_form (uncorrected) = -2.098 eV/atom
Magnetization = 0.73 μB/cell

***

Below is a relaxed structure of Pr2TlPtO6, with properties calculated at the GGA-PBE level. Values from VASP.

```
&SYSTEM
  ibrav = 0, nat = 20, ntyp = 4
/
ATOMIC_SPECIES
Pr 140.91 Pr.upf
Tl 204.38 Tl.upf
Pt 195.08 Pt.upf
O 16.00 O.upf
CELL_PARAMETERS angstrom
5.7153 0.0000 0.0000
0.0000 6.2104 0.0000
-5.5696 0.0000 8.3650
ATOMIC_POSITIONS angstrom
Pr -0.0840 0.3748 1.9901
Pr -2.8688 2.7304 6.1726
Pr 3.0145 3.4800 2.1924
Pr 0.2297 5.8355 6.3749
Tl -2.7848 0.0000 4.1825
Tl 0.0000 3.1052 0.0000
Pt 2.8577 0.0000 0.0000
Pt 0.0728 3.1052 4.1825
O -4.4613 1.0391 8.0261
O -1.6765 2.0660 3.8436
O -3.6423 4.5326 7.5794
O -0.8575 4.7830 3.3969
O -1.9685 0.5135 6.5250
O 0.8163 2.5917 2.3425
O -0.6706 3.6187 6.0226
O 2.1142 5.6969 1.8401
O 1.0032 1.4274 4.9682
O 3.7880 1.6778 0.7856
O 1.8222 4.1443 4.5215
O 4.6070 5.1712 0.3390
```

Output
E_form (uncorrected) = -1.885 eV/atom
Magnetization = 0.00 μB/cell

***

Below is a relaxed structure of Pr2TlPtO5, with properties calculated at the GGA-PBE level. Values from VASP.

```
&SYSTEM
  ibrav = 0, nat = 18, ntyp = 4
/
ATOMIC_SPECIES
Pr 140.91 Pr.upf
Tl 204.38 Tl.upf
Pt 195.08 Pt.upf
O 16.00 O.upf
CELL_PARAMETERS angstrom
6.9763 0.0000 0.0000
0.0000 6.9763 0.0000
0.0000 0.0000 5.8989
ATOMIC_POSITIONS angstrom
Pr 1.2369 2.2513 0.0000
Pr 2.2513 5.7394 0.0000
Pr 4.7250 1.2369 0.0000
Pr 5.7394 4.7250 0.0000
Tl 0.0000 0.0000 2.9495
Tl 3.4881 3.4881 2.9495
Pt 0.0000 3.4881 2.9495
Pt 3.4881 0.0000 2.9495
O 0.0000 0.0000 0.0000
O 0.9154 4.4035 1.4291
O 0.9154 4.4035 4.4698
O 2.5727 0.9154 1.4291
O 2.5727 0.9154 4.4698
O 3.4881 3.4881 0.0000
O 4.4035 6.0609 1.4291
O 4.4035 6.0609 4.4698
O 6.0609 2.5727 1.4291
O 6.0609 2.5727 4.4698
```

Output
E_form (uncorrected) = -2.028 eV/atom
Magnetization = 1.98 μB/cell

***

no.,Fermi-level density of states (states/eV per cell)
1,16.122
2,7.395
3,6.163
4,0.000
5,7.067
6,10.266
7,13.816